(1)
Compound: KMg3Pb4
Source: Alexandria via LeMat-Bulk
Functional: PBE
Structure: relaxed

Unit cell a=5.3412 b=5.3412 c=9.0516 alpha=90.00 beta=90.00 gamma=90.00
Last column: nearest neighbours and their distance in Å.
Positions (direct):
Mg1 0.5000 0.5000 0.6640  1 Mg 2.97, 4 Pb 3.03
Mg2 0.0000 0.0000 0.0000  8 Pb 3.12
Mg3 0.5000 0.5000 0.3360  1 Mg 2.97, 4 Pb 3.03
Pb1 0.5000 0.0000 0.8211  4 Mg 3.03-3.12, 1 Pb 3.24
Pb2 0.5000 0.0000 0.1789  4 Mg 3.03-3.12, 1 Pb 3.24
Pb3 0.0000 0.5000 0.8211  4 Mg 3.03-3.12, 1 Pb 3.24
Pb4 0.0000 0.5000 0.1789  4 Mg 3.03-3.12, 1 Pb 3.24
K1 0.0000 0.0000 0.5000  8 Pb 3.95, 8 Mg 4.06

Summary:
density	6.05	g/cm3
M_tot	0.00	μB/f.u.
calculated volume	32.3	Å³ per atom
E	-2.610	eV per atom

=====

(2)
Compound: K3Mg3Pb8
Source: Alexandria via LeMat-Bulk
Functional: PBE
Structure: relaxed

Unit cell a=5.1401 b=9.7999 c=9.7999 alpha=75.93 beta=74.80 gamma=74.80
Last column: nearest neighbours and their distance in Å.
Positions (direct):
Mg1 0.0000 0.1443 0.8557  2 Mg 3.10, 6 Pb 3.11-3.37
Mg2 0.5000 0.0000 0.0000  4 Mg 3.10, 4 Pb 3.16
Mg3 0.0000 0.8557 0.1443  2 Mg 3.10, 6 Pb 3.11-3.37
Pb1 0.3562 0.3396 0.9481  3 Mg 3.16-3.37, 3 Pb 3.20-3.39
Pb2 0.1267 0.5211 0.2255  1 Mg 3.11, 3 Pb 3.20-3.39
Pb3 0.6438 0.6604 0.0519  3 Mg 3.16-3.37, 3 Pb 3.20-3.39
Pb4 0.8733 0.4789 0.7745  1 Mg 3.11, 3 Pb 3.20-3.39
Pb5 0.6438 0.0519 0.6604  3 Mg 3.16-3.37, 3 Pb 3.20-3.39
Pb6 0.3562 0.9481 0.3396  3 Mg 3.16-3.37, 3 Pb 3.20-3.39
Pb7 0.1267 0.2255 0.5211  1 Mg 3.11, 3 Pb 3.20-3.39
Pb8 0.8733 0.7745 0.4789  1 Mg 3.11, 3 Pb 3.20-3.39
K1 0.2274 0.7726 0.7726  10 Pb 3.70-4.12, 2 Mg 3.74, 1 K 3.97
K2 0.5000 0.5000 0.5000  8 Pb 3.63, 2 K 3.97
K3 0.7726 0.2274 0.2274  10 Pb 3.70-4.12, 2 Mg 3.74, 1 K 3.97

Summary:
density	6.79	g/cm3
M_tot	0.00	μB/f.u.
calculated volume	32.3	Å³ per atom
E	-2.806	eV per atom

=====

(3)
Compound: KMg5Pb2
Source: Alexandria via LeMat-Bulk
Functional: PBE
Structure: relaxed

Unit cell a=4.6136 b=7.5558 c=7.5558 alpha=70.65 beta=72.22 gamma=72.22
Last column: nearest neighbours and their distance in Å.
Positions (direct):
Mg1 0.6425 0.1748 0.5402  3 Pb 3.00-3.10, 4 Mg 3.19-3.26
Mg2 0.6425 0.5402 0.1748  3 Pb 3.00-3.10, 4 Mg 3.19-3.26
Mg3 0.0000 0.5000 0.5000  2 Pb 2.95, 8 Mg 3.24
Mg4 0.3575 0.4598 0.8252  3 Pb 3.00-3.10, 4 Mg 3.19-3.26
Mg5 0.3575 0.8252 0.4598  3 Pb 3.00-3.10, 4 Mg 3.19-3.26
Pb1 0.7420 0.7580 0.7580  7 Mg 2.95-3.10
Pb2 0.2580 0.2420 0.2420  7 Mg 2.95-3.10
K1 0.0000 0.0000 0.0000  4 Pb 3.60, 8 Mg 3.96

Summary:
density	4.14	g/cm3
M_tot	0.00	μB/f.u.
calculated volume	28.8	Å³ per atom
E	-2.134	eV per atom

=====

(4)
Compound: K5MgPb6
Source: Alexandria via LeMat-Bulk
Functional: PBE
Structure: relaxed

Unit cell a=10.1089 b=7.3416 c=7.9918 alpha=62.66 beta=82.77 gamma=74.11
Last column: nearest neighbours and their distance in Å.
Positions (direct):
Pb1 0.2266 0.9398 0.7633  1 Mg 2.85, 1 Pb 3.11
Pb2 0.7734 0.0602 0.2367  1 Mg 2.85, 1 Pb 3.11
Pb3 0.3317 0.1102 0.0000  3 Pb 3.11-3.34
Pb4 0.7734 0.2969 0.7633  1 Mg 2.85, 1 Pb 3.11
Pb5 0.6683 0.8898 0.0000  3 Pb 3.11-3.34
Pb6 0.2266 0.7031 0.2367  1 Mg 2.85, 1 Pb 3.11
K1 0.5000 0.2253 0.5495  6 Pb 3.61-3.82, 3 K 3.74-3.90
K2 0.0000 0.3431 0.3138  4 Pb 3.75-3.94
K3 0.5000 0.7747 0.4505  6 Pb 3.61-3.82, 3 K 3.74-3.90
K4 0.5000 0.5000 0.0000  6 Pb 3.53-3.71, 2 K 3.90
K5 0.0000 0.6569 0.6862  4 Pb 3.75-3.94
Mg1 0.0000 0.0000 0.0000  4 Pb 2.85

Summary:
density	4.79	g/cm3
M_tot	0.00	μB/f.u.
calculated volume	42.2	Å³ per atom
E	-2.519	eV per atom

=====

(5)
Compound: KMg2Pb
Source: Alexandria via LeMat-Bulk
Functional: PBE
Structure: relaxed

Unit cell a=5.4560 b=3.4083 c=6.7410 alpha=81.60 beta=90.00 gamma=90.00
Last column: nearest neighbours and their distance in Å.
Positions (direct):
Mg1 0.0000 0.4172 0.4591  2 Pb 3.16, 4 Mg 3.19-3.41
Mg2 0.0000 0.0828 0.0409  2 Pb 3.16, 4 Mg 3.19-3.41
Pb1 0.5000 0.2500 0.2500  4 Mg 3.16, 2 Pb 3.41
K1 0.5000 0.7500 0.7500  2 K 3.41, 2 Pb 3.55, 4 Mg 3.64

Summary:
density	3.95	g/cm3
M_tot	0.00	μB/f.u.
calculated volume	31.0	Å³ per atom
E	-1.928	eV per atom

=====

(6)
Compound: KMgPb
Source: Alexandria via LeMat-Bulk
Functional: PBE
Structure: relaxed

Unit cell a=5.5438 b=5.5438 c=5.5438 alpha=60.00 beta=60.00 gamma=60.00
Last column: nearest neighbours and their distance in Å.
Positions (direct):
K1 0.7500 0.7500 0.7500  4 Pb 3.39, 4 Mg 3.39
Pb1 0.5000 0.5000 0.5000  4 K 3.39
Mg1 0.0000 0.0000 0.0000  4 K 3.39

Summary:
density	3.73	g/cm3
M_tot	0.02	μB/f.u.
calculated volume	40.2	Å³ per atom
excess energy over the best structure of this formula in the dataset	679	meV/atom

=====

(7)
Compound: KMg2Pb3
Source: Alexandria via LeMat-Bulk
Functional: PBE
Structure: relaxed

Unit cell a=6.4167 b=8.0718 c=8.0718 alpha=103.89 beta=90.00 gamma=90.00
Last column: nearest neighbours and their distance in Å.
Positions (direct):
Pb1 0.2500 0.9307 0.5390  4 Mg 3.04-3.10, 1 Pb 3.25
Pb2 0.2500 0.9454 0.9454  4 Mg 3.25, 4 Pb 3.25-3.39
Pb3 0.2500 0.5390 0.9307  4 Mg 3.04-3.10, 1 Pb 3.25
Pb4 0.7500 0.0546 0.0546  4 Mg 3.25, 4 Pb 3.25-3.39
Pb5 0.7500 0.0693 0.4610  4 Mg 3.04-3.10, 1 Pb 3.25
Pb6 0.7500 0.4610 0.0693  4 Mg 3.04-3.10, 1 Pb 3.25
Mg1 0.0000 0.7818 0.2182  6 Pb 3.04-3.25, 2 Mg 3.21
Mg2 0.5000 0.2182 0.7818  6 Pb 3.04-3.25, 2 Mg 3.21
Mg3 0.0000 0.2182 0.7818  6 Pb 3.04-3.25, 2 Mg 3.21
Mg4 0.5000 0.7818 0.2182  6 Pb 3.04-3.25, 2 Mg 3.21
K1 0.7500 0.6720 0.6720  9 Pb 3.81-4.21
K2 0.2500 0.3280 0.3280  9 Pb 3.81-4.21

Summary:
density	5.80	g/cm3
M_tot	0.00	μB/f.u.
calculated volume	33.8	Å³ per atom
excess energy over the best structure of this formula in the dataset	33	meV/atom

=====

(8)
Compound: K3Mg4Pb4
Source: Alexandria via LeMat-Bulk
Functional: PBE
Structure: relaxed

Unit cell a=7.9310 b=7.9310 c=7.9310 alpha=109.47 beta=109.47 gamma=109.47
Last column: nearest neighbours and their distance in Å.
Positions (direct):
Pb1 0.6183 0.0000 0.0000  4 Mg 2.89-3.02
Pb2 0.0000 0.6183 0.0000  4 Mg 2.89-3.02
Pb3 0.0000 0.0000 0.6183  4 Mg 2.89-3.02
Pb4 0.3817 0.3817 0.3817  4 Mg 2.89-3.02
K1 0.5000 0.5000 0.0000  4 Pb 3.76, 4 Mg 3.79
K2 0.0000 0.5000 0.5000  4 Pb 3.76, 4 Mg 3.79
K3 0.5000 0.0000 0.5000  4 Pb 3.76, 4 Mg 3.79
Mg1 0.0000 0.2534 0.0000  4 Pb 2.89-3.02
Mg2 0.0000 0.0000 0.2534  4 Pb 2.89-3.02
Mg3 0.7466 0.7466 0.7466  4 Pb 2.89-3.02
Mg4 0.2534 0.0000 0.0000  4 Pb 2.89-3.02

Summary:
density	4.51	g/cm3
M_tot	0.00	μB/f.u.
calculated volume	34.9	Å³ per atom
E	-2.306	eV per atom

=====

(9)
Compound: KMg2Pb
Source: Alexandria via LeMat-Bulk
Functional: PBE
Structure: relaxed

Unit cell a=6.5975 b=6.5975 c=6.5975 alpha=145.90 beta=127.98 gamma=63.68
Last column: nearest neighbours and their distance in Å.
Positions (direct):
Mg1 0.5308 0.5308 0.0000  2 Pb 3.13
Mg2 0.9692 0.9692 0.0000  2 Pb 3.13
K1 0.2500 0.7500 0.5000  4 Pb 3.48, 8 Mg 3.69-3.80, 2 K 3.87
Pb1 0.7500 0.2500 0.5000  4 Mg 3.13, 4 K 3.48

Summary:
density	3.90	g/cm3
M_tot	0.00	μB/f.u.
calculated volume	31.4	Å³ per atom
E	-1.895	eV per atom

=====

(10)
Compound: KMg6Pb4
Source: Alexandria via LeMat-Bulk
Functional: PBE
Structure: relaxed

Unit cell a=4.6412 b=8.7842 c=8.7842 alpha=120.00 beta=90.00 gamma=90.00
Last column: nearest neighbours and their distance in Å.
Positions (direct):
Mg1 0.0000 0.5358 0.0716  5 Pb 3.08-3.10, 2 Mg 3.45
Mg2 0.5000 0.2033 0.4066  4 Pb 3.03-3.05
Mg3 0.0000 0.5358 0.4642  5 Pb 3.08-3.10, 2 Mg 3.45
Mg4 0.5000 0.5934 0.7967  4 Pb 3.03-3.05
Mg5 0.0000 0.9284 0.4642  5 Pb 3.08-3.10, 2 Mg 3.45
Mg6 0.5000 0.2033 0.7967  4 Pb 3.03-3.05
K1 0.0000 0.0000 0.0000  6 Pb 3.76, 6 Mg 3.87
Pb1 0.5000 0.8055 0.1945  6 Mg 3.03-3.10
Pb2 0.5000 0.3890 0.1945  6 Mg 3.03-3.10
Pb3 0.0000 0.3333 0.6667  9 Mg 3.05-3.08
Pb4 0.5000 0.8055 0.6110  6 Mg 3.03-3.10

Summary:
density	5.43	g/cm3
M_tot	0.00	μB/f.u.
calculated volume	28.2	Å³ per atom
E	-2.408	eV per atom

=====

(11)
Compound: KMg2Pb
Source: Alexandria via LeMat-Bulk
Functional: PBE
Structure: relaxed

Unit cell a=5.2577 b=5.2577 c=7.6292 alpha=82.99 beta=82.99 gamma=40.30
Last column: nearest neighbours and their distance in Å.
Positions (direct):
Mg1 0.2468 0.2468 0.2588  3 Pb 3.05-3.06, 3 Mg 3.06-3.14
Mg2 0.9858 0.9858 0.0822  3 Mg 3.06-3.14, 2 Pb 3.19
Pb1 0.5129 0.5129 0.4206  5 Mg 3.05-3.19
K1 0.7545 0.7545 0.7384  3 Pb 3.62-3.75, 2 K 3.62, 3 Mg 3.69-3.92

Summary:
density	3.62	g/cm3
M_tot	0.00	μB/f.u.
calculated volume	33.8	Å³ per atom
E	-1.932	eV per atom

=====

(12)
Compound: KMg2Pb
Source: Alexandria via LeMat-Bulk
Functional: PBE
Structure: relaxed

Unit cell a=4.7534 b=4.7534 c=11.6416 alpha=90.00 beta=90.00 gamma=90.00
Last column: nearest neighbours and their distance in Å.
Positions (direct):
Mg1 0.5000 0.5000 0.5000  4 Pb 3.03, 4 Mg 3.36
Mg2 0.5000 0.0000 0.9305  1 Pb 3.14
Mg3 0.0000 0.0000 0.5000  4 Pb 3.03, 4 Mg 3.36
Mg4 0.0000 0.5000 0.0695  1 Pb 3.14
K1 0.5000 0.0000 0.2367  9 Mg 3.56-3.88, 4 Pb 3.57
K2 0.0000 0.5000 0.7633  9 Mg 3.56-3.88, 4 Pb 3.57
Pb1 0.0000 0.5000 0.3390  5 Mg 3.03-3.14
Pb2 0.5000 0.0000 0.6610  5 Mg 3.03-3.14

Summary:
density	3.72	g/cm3
M_tot	0.00	μB/f.u.
calculated volume	32.9	Å³ per atom
E	-1.992	eV per atom